# ScHgTe2

ScHgTe2 at its PBEsol-relaxed geometry (meta-GGA SCAN, Alexandria via LeMat-Bulk).

a = 5.204 Å, b = 5.204 Å, c = 5.204 Å
α = 60.00°, β = 60.00°, γ = 60.00°
Fractional positions:
1 Sc 0.000 0.000 0.000
2 Hg 0.250 0.250 0.250
3 Te 0.500 0.500 0.500
4 Te 0.750 0.750 0.750

* formation energy (no corrections): -0.22 eV per atom
* E_tot: -39.45 eV per atom



# SrCa2Se

SrCa2Se at its PBEsol-relaxed geometry (meta-GGA SCAN, Alexandria via LeMat-Bulk).

a = 3.694 Å, b = 3.694 Å, c = 9.815 Å
α = 90.00°, β = 90.00°, γ = 90.00°
Fractional positions:
1 Sr 0.000 0.000 0.000
2 Ca 0.500 0.500 0.327
3 Ca 0.500 0.500 0.673
4 Se 0.000 0.000 0.500

* formation energy (no corrections): -0.91 eV per atom
* E_tot: -16.33 eV per atom



# MgRh2Pb

MgRh2Pb at its PBEsol-relaxed geometry (meta-GGA SCAN, Alexandria via LeMat-Bulk).

a = 3.242 Å, b = 3.253 Å, c = 6.226 Å
α = 90.00°, β = 90.00°, γ = 90.00°
Fractional positions:
1 Mg 0.000 0.000 0.000
2 Rh 0.500 0.500 0.244
3 Rh 0.500 0.500 0.756
4 Pb 0.000 0.000 0.500

* E_tot: -37.32 eV per atom
* formation energy: -0.25 eV per atom



# TlCr2Pb

TlCr2Pb at its PBEsol-relaxed geometry (meta-GGA SCAN, Alexandria via LeMat-Bulk).

a = 4.847 Å, b = 4.847 Å, c = 4.847 Å
α = 60.00°, β = 60.00°, γ = 60.00°
Fractional positions:
1 Tl 0.000 0.000 0.000
2 Cr 0.250 0.250 0.250
3 Cr 0.750 0.750 0.750
4 Pb 0.500 0.500 0.500

* polymorph energy (0 for the lowest one): 0.0000 eV/atom
* E_tot: -45.89 eV per atom
* formation energy: 0.33 eV per atom



# ReSbTe4

ReSbTe4 at its PBEsol-relaxed geometry (meta-GGA SCAN, Alexandria via LeMat-Bulk).

a = 6.133 Å, b = 6.133 Å, c = 6.133 Å
α = 60.00°, β = 60.00°, γ = 60.00°
Fractional positions:
1 Re 0.000 0.000 0.000
2 Sb 0.750 0.750 0.750
3 Te 0.374 0.374 0.374
4 Te 0.374 0.374 0.877
5 Te 0.374 0.877 0.374
6 Te 0.877 0.374 0.374

* formation energy (no corrections): 1.45 eV per atom
* E_tot: -41.45 eV per atom



# Sc2PtAu

Sc2PtAu at its PBEsol-relaxed geometry (meta-GGA SCAN, Alexandria via LeMat-Bulk).

a = 4.410 Å, b = 5.335 Å, c = 5.335 Å
α = 36.57°, β = 90.00°, γ = 90.00°
Fractional positions:
1 Sc 0.000 0.000 0.000
2 Sc 0.500 0.283 0.283
3 Pt 0.500 0.551 0.551
4 Au 0.000 0.729 0.729

* E_tot: -43.20 eV per atom
* formation energy: -1.25 eV per atom



# La2MoRu

La2MoRu at its PBEsol-relaxed geometry (meta-GGA SCAN, Alexandria via LeMat-Bulk).

a = 5.824 Å, b = 5.824 Å, c = 5.824 Å
α = 139.16°, β = 139.16°, γ = 59.13°
Fractional positions:
1 La 0.000 0.000 0.000
2 La 0.750 0.250 0.500
3 Mo 0.500 0.500 0.000
4 Ru 0.250 0.750 0.500

* E_tot: -38.45 eV per atom
* formation energy: 0.53 eV per atom



# CdInHg2

CdInHg2 at its PBEsol-relaxed geometry (meta-GGA SCAN, Alexandria via LeMat-Bulk).

a = 3.783 Å, b = 3.783 Å, c = 6.509 Å
α = 90.00°, β = 90.00°, γ = 90.00°
Fractional positions:
1 Cd 0.000 0.000 0.000
2 In 0.500 0.500 0.733
3 Hg 0.000 0.000 0.486
4 Hg 0.500 0.500 0.229

* E_tot: -49.99 eV per atom
* formation energy: 0.04 eV per atom



- E_tot of number 4 (TlCr2Pb)?
  -45.89 eV per atom